A relaxed NbZnTeI2 crystal. Source: the Alexandria database, functional PBE.

Structure (extended XYZ):
```
5
Lattice="5.391 0.000 0.000 0.000 5.391 0.000 0.000 0.000 5.428" Properties=species:S:1:pos:R:3 pbc="T T T"
Nb 0.000 0.000 0.000
Zn 2.696 2.696 2.714
Te 2.696 2.696 0.000
I 0.000 2.696 2.714
I 2.696 0.000 2.714
```

For the uncorrected formation energy, the calculation gives 0.735 eV per atom. The spin magnetization comes out at 2.8 μB/cell. The value obtained for the uncorrected energy is -13.9 eV per cell. The calculation puts the density of states at the Fermi level at 4.460 states/eV per cell. As for the density: 5.68 g cm⁻³. As for the symmetry: P4/mmm (123).

A relaxed NbZnTeI2 crystal. Source: the Alexandria database, functional PBE.

Structure (extended XYZ):
```
5
Lattice="5.680 0.000 0.000 0.000 5.680 0.000 0.000 0.000 5.393" Properties=species:S:1:pos:R:3 pbc="T T T"
Nb 0.000 0.000 0.000
Zn 2.840 2.840 2.697
Te 0.000 0.000 2.697
I 0.000 2.840 0.000
I 2.840 0.000 0.000
```

For the uncorrected formation energy, the calculation gives 0.128 eV per atom. The spin magnetization comes out at 0.0 μB/cell. The value obtained for the uncorrected energy is -16.9 eV per cell. The calculation puts the density of states at the Fermi level at 1.961 states/eV per cell. As for the density: 5.15 g cm⁻³. As for the symmetry: P4/mmm (123).

A relaxed ZrNbTeI2 crystal. Source: the Alexandria database, functional PBE.

Structure (extended XYZ):
```
5
Lattice="5.641 0.000 0.000 0.000 5.641 0.000 0.000 0.000 5.684" Properties=species:S:1:pos:R:3 pbc="T T T"
Zr 0.000 0.000 0.000
Nb 2.820 2.820 2.842
Te 0.000 0.000 2.842
I 0.000 2.820 0.000
I 2.820 0.000 0.000
```

For the uncorrected formation energy, the calculation gives 0.576 eV per atom. The spin magnetization comes out at 4.4 μB/cell. The value obtained for the uncorrected energy is -22.0 eV per cell. The calculation puts the density of states at the Fermi level at 9.436 states/eV per cell. As for the density: 5.19 g cm⁻³. As for the symmetry: P4/mmm (123).